Density functional theory data (PBE-GGA) for a relaxed PmDy2UAs4 crystal.

D(E_F) = 8.2 states/eV/cell
Electronic total energy = -6.804 eV per atom

a b c (Å): 4.124 7.166 7.164
angles (deg): 109.18 90.00 90.00
Atoms (fractional coordinates):
Pm (0.500, 0.500, 0.000)
Dy (0.500, 0.000, 0.500)
Dy (0.000, 0.500, 0.500)
U (0.000, 0.000, 0.000)
As (0.500, 0.245, 0.250)
As (0.500, 0.755, 0.750)
As (0.000, 0.242, 0.748)
As (0.000, 0.758, 0.252)